{
  "formula": "Na2DyZnSn2",
  "functional": "PBE",
  "state": "relaxed",
  "rho_kg_m3": 5394,
  "e_form_ev_per_fu": -2.07,
  "final_energy_ev_per_atom": -3.10,
  "m_tot_mub_per_fu": 0.0,
  "cell": [[-4.404, -1.002, 1.408], [-2.157, -0.613, -7.183], [2.002, -8.613, 0.133]],
  "species": ["Zn", "Zn", "Dy", "Sn", "Sn", "Na", "Na", "Na", "Na", "Sn", "Dy", "Sn"],
  "frac_coords": [[0.500, 0.142, 0.688], [0.500, 0.642, 0.312], [0.000, 0.518, 0.520], [0.500, 0.778, 0.613], [0.000, 0.756, 0.195], [0.000, 0.331, 0.153], [0.500, 0.521, 0.921], [0.000, 0.831, 0.847], [0.500, 0.021, 0.079], [0.500, 0.278, 0.387], [0.000, 0.018, 0.480], [0.000, 0.256, 0.805]]
}